PrNd4Er3Se8, relaxed, DFT PBE; Fermi-level density of states = 9.31 states/eV/f.u.; M_tot = 0.000 μB per formula unit; calculated total energy = -5.87 eV/atom
1.0
8.270 0.000 0.000
0.000 8.397 0.080
-4.135 -4.133 5.852
Se Nd Er Pr
8 4 3 1
direct
0.251 0.738 0.987 Se
0.736 0.738 0.987 Se
0.744 0.731 0.487 Se
0.264 0.262 0.013 Se
0.749 0.262 0.013 Se
0.251 0.738 0.502 Se
0.256 0.269 0.513 Se
0.749 0.262 0.498 Se
0.000 0.000 0.500 Nd
0.500 0.000 0.500 Nd
0.000 0.000 0.000 Nd
0.500 0.000 0.000 Nd
0.500 0.500 0.500 Er
0.000 0.500 0.500 Er
0.500 0.500 0.000 Er
0.000 0.500 0.000 Pr